No. 1
First-principles (GGA-PBE) data for a relaxed LaNd3Y4 crystal, as listed in Alexandria via LeMat-Bulk.

POSCAR file:
```
LaNd3Y4
1.0
-2.5302 1.4714 -1.8568
-2.9795 -7.0982 -4.8000
-7.2718 -2.1219 4.9921
Y La Nd
4 1 3
Cartesian
-6.3634 -6.5479 -2.9881 Y
-6.4181 -1.2008 1.3234 Y
-8.4949 -4.0767 1.8746 Y
-4.2866 -3.6720 -3.5393 Y
-1.2651 0.7357 -0.9284 La
-4.3948 -1.1106 -1.3620 Nd
-5.1256 -4.6100 0.0961 Nd
-8.3867 -6.6381 -0.3027 Nd
```

- Raw total energy: -5.508 eV/atom


No. 2
First-principles (GGA-PBE) data for a relaxed La2Nd2Y5 crystal, as listed in Alexandria via LeMat-Bulk.

POSCAR file:
```
La2Nd2Y5
1.0
-0.5537 -2.1372 -2.7342
-5.9945 -5.6680 5.6442
-1.4858 10.8654 -5.9334
La Y Nd
2 5 2
Cartesian
-6.8201 0.4530 -1.2313 La
-1.2139 2.6072 -1.7921 La
0.0000 0.0000 0.0000 Y
-3.4872 0.6664 0.1853 Y
-4.5469 2.3939 -3.2088 Y
-2.3644 5.3189 -3.6786 Y
-5.6696 -2.2586 0.6552 Y
-5.8140 5.8684 -3.4096 Nd
-2.2201 -2.8082 0.3861 Nd
```

- Raw total energy: -5.608 eV/atom


No. 3
First-principles (GGA-PBE) data for a relaxed La2Nd4Y3 crystal, as listed in Alexandria via LeMat-Bulk.

POSCAR file:
```
La2Nd4Y3
1.0
-0.2164 -3.6681 5.1809
6.1570 -2.0181 2.7218
-0.0130 4.7262 7.2402
Y La Nd
3 2 4
Cartesian
2.9703 -2.8431 3.9513 Y
0.0000 0.0000 0.0000 Y
3.0785 -1.0090 1.3609 Y
-0.0866 -0.3434 3.6469 La
-0.1428 1.4016 8.7742 La
1.6285 -1.2467 6.9710 Nd
1.7601 2.1986 5.5260 Nd
4.2990 0.2868 8.1719 Nd
4.1675 -3.1585 9.6169 Nd
```

- Raw total energy: -5.207 eV/atom


Copy entry 3 word for word.
First-principles (GGA-PBE) data for a relaxed La2Nd4Y3 crystal, as listed in Alexandria via LeMat-Bulk.

POSCAR file:
```
La2Nd4Y3
1.0
-0.2164 -3.6681 5.1809
6.1570 -2.0181 2.7218
-0.0130 4.7262 7.2402
Y La Nd
3 2 4
Cartesian
2.9703 -2.8431 3.9513 Y
0.0000 0.0000 0.0000 Y
3.0785 -1.0090 1.3609 Y
-0.0866 -0.3434 3.6469 La
-0.1428 1.4016 8.7742 La
1.6285 -1.2467 6.9710 Nd
1.7601 2.1986 5.5260 Nd
4.2990 0.2868 8.1719 Nd
4.1675 -3.1585 9.6169 Nd
```

- Raw total energy: -5.207 eV/atom


Which value of raw total energy does entry 1 give? -5.508 eV/atom


Look up the raw total energy of the second one. -5.608 eV/atom